A plane-wave DFT calculation with GGA-PBE was carried out for a geometry-optimized GdErH2O4 structure.

Output
As for the total magnetization: 0.00 Bohr magnetons per cell. Its calculated volume is 86.5 Å³ per cell. The calculation puts the theoretical density at 7.50 g/cm3. The final energy comes out at -7.1231 eV/atom.

Unit cell a=4.294 b=3.601 c=5.937 alpha=90.00 beta=109.54 gamma=90.00
Fractional positions:
Er1 0.164 0.000 0.807
Gd1 0.836 0.500 0.189
H1 0.511 0.000 0.413
H2 0.492 0.500 0.597
O1 0.265 0.500 0.047
O2 0.748 0.000 0.440
O3 0.255 0.500 0.568
O4 0.729 0.000 0.939